# 1
TiSb2TeMo (PBE, optimized geometry); calculated total energy = -26.118 eV for the cell shown; excess energy over the best structure of this formula in the dataset = 0.0000 eV per atom; raw formation energy = 0.799 eV/atom
1.0
5.204 0.000 0.000
0.000 5.204 0.000
0.000 0.000 5.402
Sb Te Ti Mo
2 1 1 1
Direct
0.500 0.000 0.000
0.000 0.500 0.000
0.000 0.000 0.500
0.500 0.500 0.500
0.000 0.000 0.000

# 2
BaTaMn3 (PBE, optimized geometry); calculated total energy = -36.841 eV for the cell shown; DFT formation energy = 0.89 eV/atom; excess energy over the best structure of this formula in the dataset = 0.0000 eV per atom
1.0
5.010 0.000 0.000
0.000 5.010 0.000
0.000 0.000 5.010
Mn Ba Ta
3 1 1
Direct
0.500 0.000 0.000
0.000 0.000 0.500
0.000 0.500 0.000
0.500 0.500 0.500
0.000 0.000 0.000

# 3
YTiI2 (PBE, optimized geometry); calculated total energy = -18.113 eV for the cell shown; excess energy over the best structure of this formula in the dataset = 0.0000 eV per atom; raw formation energy = -0.163 eV/atom
1.0
-3.159 -4.039 -0.750
-3.231 -1.497 3.765
-5.101 0.760 -0.509
Ti I Y
1 2 1
Direct
0.000 0.000 0.000
0.250 0.250 0.250
0.750 0.750 0.750
0.500 0.500 0.500